VASP calculation (GGA-PBE) on crystalline MgSnWI2 at its relaxed geometry.

Summary:
The calculation puts the total moment at 4.00 μB/cell. As for the symmetry: P4/mmm, No. 123. The calculation puts the volume at 34.04 Å³/atom. Its formation energy (no corrections) is 1.21 eV/atom.

a = 5.527 Å, b = 5.527 Å, c = 5.572 Å
α = 90.00°, β = 90.00°, γ = 90.00°
Positions (direct):
Mg 0.000 0.000 0.000
Sn 0.500 0.500 0.500
W 0.000 0.000 0.500
I 0.000 0.500 0.000
I 0.500 0.000 0.000